A relaxed structure of PmSiAu. Source: Alexandria via LeMat-Bulk, functional PBE.

```
PmSiAu
1.0
4.3229 0.0000 0.0000
-2.1615 3.7438 0.0000
0.0000 0.0000 8.2020
Pm Si Au
2 2 2
direct
0.0000 0.0000 0.0000
0.0000 0.0000 0.5000
0.3333 0.6667 0.2500
0.6667 0.3333 0.7500
0.3333 0.6667 0.7500
0.6667 0.3333 0.2500
```

Results
uncorrected formation energy = -817 meV per atom
theoretical density = 9.3 g cm⁻³